(1)
Pr2Dy7Er2: relaxed, PBE.

Structure (CIF):
```
data_Pr2Dy7Er2
_symmetry_space_group_name_H-M 'C 1 2/m 1'
_symmetry_Int_Tables_number 12
_cell_length_a 11.3120
_cell_length_b 11.4625
_cell_length_c 6.0514
_cell_angle_alpha 90.00
_cell_angle_beta 113.32
_cell_angle_gamma 90.00
loop_
_symmetry_equiv_pos_as_xyz
'x,y,z'
'-x,-y,-z'
'-x,y,-z'
'x,-y,z'
'x+1/2,y+1/2,z'
'-x+1/2,-y+1/2,-z'
'-x+1/2,y+1/2,-z'
'x+1/2,-y+1/2,z'
loop_
_atom_site_label
_atom_site_type_symbol
_atom_site_fract_x
_atom_site_fract_y
_atom_site_fract_z
_atom_site_occupancy
Pr1 Pr 0.2303 0.0000 0.0933 1
Dy1 Dy 0.0000 0.0000 0.5000 1
Dy2 Dy 0.0863 0.5000 0.3011 1
Dy3 Dy 0.1746 0.2349 0.6744 1
Er1 Er 0.0000 0.2194 0.0000 1
```

Values from the calculation:
Excess energy over the best structure of this formula in the dataset   4 meV per atom

(2)
PrDy6Er12: relaxed, PBE.

Structure (CIF):
```
data_PrDy6Er12
_symmetry_space_group_name_H-M 'R -3'
_symmetry_Int_Tables_number 148
_symmetry_space_group_name_Hall '-R 3'
_cell_length_a 11.8168
_cell_length_b 11.8168
_cell_length_c 15.0762
_cell_angle_alpha 90.00
_cell_angle_beta 90.00
_cell_angle_gamma 120.00
loop_
_atom_site_label
_atom_site_type_symbol
_atom_site_fract_x
_atom_site_fract_y
_atom_site_fract_z
_atom_site_occupancy
Pr1 Pr 0.0000 0.0000 0.0000 1
Dy1 Dy 0.0072 0.5864 0.6764 1
Er1 Er 0.0230 0.1843 0.1921 1
Er2 Er 0.0390 0.1871 0.4156 1
```

Values from the calculation:
Excess energy over the best structure of this formula in the dataset   0 meV per atom

(3)
Pr7Dy2Er2: relaxed, PBE.

Structure (CIF):
```
data_Pr7Dy2Er2
_symmetry_space_group_name_H-M 'C 1 2/m 1'
_symmetry_Int_Tables_number 12
_cell_length_a 11.5269
_cell_length_b 11.5915
_cell_length_c 6.1626
_cell_angle_alpha 90.00
_cell_angle_beta 111.85
_cell_angle_gamma 90.00
loop_
_symmetry_equiv_pos_as_xyz
'x,y,z'
'-x,-y,-z'
'-x,y,-z'
'x,-y,z'
'x+1/2,y+1/2,z'
'-x+1/2,-y+1/2,-z'
'-x+1/2,y+1/2,-z'
'x+1/2,-y+1/2,z'
loop_
_atom_site_label
_atom_site_type_symbol
_atom_site_fract_x
_atom_site_fract_y
_atom_site_fract_z
_atom_site_occupancy
Pr1 Pr 0.0000 0.0000 0.0000 1
Pr2 Pr 0.0743 0.5000 0.7996 1
Pr3 Pr 0.1826 0.2320 0.1818 1
Dy1 Dy 0.2264 0.0000 0.5893 1
Er1 Er 0.0000 0.2145 0.5000 1
```

Values from the calculation:
Excess energy over the best structure of this formula in the dataset   0 meV per atom

(4)
PrDy3Er: relaxed, PBE.

Structure (CIF):
```
data_PrDy3Er
_symmetry_space_group_name_H-M 'P 1 21/m 1'
_symmetry_Int_Tables_number 11
_cell_length_a 5.0526
_cell_length_b 9.6205
_cell_length_c 7.8424
_cell_angle_alpha 90.00
_cell_angle_beta 108.72
_cell_angle_gamma 90.00
loop_
_symmetry_equiv_pos_as_xyz
'x,y,z'
'-x,-y,-z'
'-x,y+1/2,-z'
'x,-y+1/2,z'
loop_
_atom_site_label
_atom_site_type_symbol
_atom_site_fract_x
_atom_site_fract_y
_atom_site_fract_z
_atom_site_occupancy
Pr1 Pr 0.1628 0.2500 0.3248 1
Dy1 Dy 0.1710 0.7500 0.3417 1
Dy2 Dy 0.3307 0.0034 0.6618 1
Er1 Er 0.4982 0.2500 0.9966 1
```

Values from the calculation:
Excess energy over the best structure of this formula in the dataset   353 meV per atom

(5)
Pr3Dy4Er8: relaxed, PBE.

Structure (CIF):
```
data_Pr3Dy4Er8
_symmetry_space_group_name_H-M 'C 1 2/m 1'
_symmetry_Int_Tables_number 12
_cell_length_a 13.3614
_cell_length_b 12.8350
_cell_length_c 6.7206
_cell_angle_alpha 90.00
_cell_angle_beta 120.15
_cell_angle_gamma 90.00
loop_
_symmetry_equiv_pos_as_xyz
'x,y,z'
'-x,-y,-z'
'-x,y,-z'
'x,-y,z'
'x+1/2,y+1/2,z'
'-x+1/2,-y+1/2,-z'
'-x+1/2,y+1/2,-z'
'x+1/2,-y+1/2,z'
loop_
_atom_site_label
_atom_site_type_symbol
_atom_site_fract_x
_atom_site_fract_y
_atom_site_fract_z
_atom_site_occupancy
Pr1 Pr 0.0000 0.0000 0.0000 1
Pr2 Pr 0.2500 0.2500 0.0000 1
Dy1 Dy 0.0000 0.5000 0.0000 1
Dy2 Dy 0.0000 0.5000 0.5000 1
Dy3 Dy 0.2500 0.2500 0.5000 1
Er1 Er 0.0000 0.1393 0.5000 1
Er2 Er 0.0000 0.2472 0.0000 1
Er3 Er 0.2341 0.0000 0.9700 1
Er4 Er 0.2375 0.0000 0.4946 1
```

(6)
Pr11Dy9Er4: relaxed, PBE.

Structure (CIF):
```
data_Pr11Dy9Er4
_symmetry_space_group_name_H-M 'C m m m'
_symmetry_Int_Tables_number 65
_symmetry_space_group_name_Hall '-C 2 2'
_cell_length_a 17.0877
_cell_length_b 25.8906
_cell_length_c 3.6705
_cell_angle_alpha 90.00
_cell_angle_beta 90.00
_cell_angle_gamma 90.00
loop_
_atom_site_label
_atom_site_type_symbol
_atom_site_fract_x
_atom_site_fract_y
_atom_site_fract_z
_atom_site_occupancy
Pr1 Pr 0.0000 0.0000 0.0000 1
Pr2 Pr 0.0000 0.1604 0.0000 1
Pr3 Pr 0.0000 0.3687 0.0000 1
Pr4 Pr 0.2068 0.5000 0.0000 1
Pr5 Pr 0.2237 0.1811 0.0000 1
Dy1 Dy 0.0000 0.5000 0.5000 1
Dy2 Dy 0.1019 0.2679 0.5000 1
Dy3 Dy 0.1414 0.0726 0.5000 1
Er1 Er 0.1574 0.3980 0.5000 1
```

| no. | E_tot (eV per atom) |
| --- | --- |
| 1 | -4.472 |
| 2 | -4.426 |
| 3 | -4.574 |
| 4 | -4.259 |
| 5 | -4.223 |
| 6 | -4.621 |